Material: LiTlPdS3
Method: DFT, PBE
State: optimized geometry

Properties
- total DFT energy (no corrections) (eV per cell) = -48.63

Cell: 6.8148 6.8148 9.6042 Å, 90.00 90.00 148.07°
Atoms (fractional coordinates):
S  0.4329  0.5671  0.2500
S  0.5671  0.4329  0.7500
S  0.1170  0.8830  0.0306
S  0.1170  0.8830  0.4694
S  0.8830  0.1170  0.5306
S  0.8830  0.1170  0.9694
Pd  0.5000  0.5000  0.0000
Pd  0.5000  0.5000  0.5000
Tl  0.2435  0.7565  0.7500
Tl  0.7565  0.2435  0.2500
Li  0.9611  0.0389  0.7500
Li  0.0389  0.9611  0.2500

Material: Li2ZnPdS4
Method: DFT, PBE
State: optimized geometry

Properties
- total DFT energy (no corrections) (eV per cell) = -62.00

Cell: 5.7654 6.0496 10.5516 Å, 90.00 122.90 90.00°
Atoms (fractional coordinates):
S  0.8916  0.2471  0.4170
S  0.4562  0.1634  0.9479
S  0.1935  0.2847  0.1760
S  0.1935  0.7153  0.6760
S  0.7060  0.7090  0.1792
S  0.7060  0.2910  0.6792
S  0.8916  0.7529  0.9170
S  0.4562  0.8366  0.4479
Pd  0.5045  0.2072  0.4273
Pd  0.5045  0.7928  0.9273
Li  0.0155  0.1332  0.9271
Li  0.2832  0.3094  0.6877
Li  0.0155  0.8668  0.4271
Li  0.2832  0.6906  0.1877
Zn  0.7923  0.6675  0.6750
Zn  0.7923  0.3325  0.1750

Material: LiZrPdS3
Method: DFT, PBE
State: optimized geometry

Properties
- size of the total moment (μB/f.u.) = 0.01
- E above lowest polymorph (meV per atom) = 5

Cell: 12.2807 3.6338 10.0835 Å, 90.00 90.00 90.00°
Atoms (fractional coordinates):
Li  0.2701  0.2500  0.0821
Li  0.7299  0.7500  0.9179
Li  0.2299  0.7500  0.5821
Li  0.7701  0.2500  0.4179
S  0.1343  0.2500  0.7404
S  0.3657  0.7500  0.2404
S  0.6343  0.2500  0.7596
S  0.3868  0.2500  0.5514
S  0.6132  0.7500  0.4486
S  0.8565  0.7500  0.6399
S  0.1132  0.7500  0.0514
S  0.3565  0.7500  0.8601
S  0.8868  0.2500  0.9486
S  0.1435  0.2500  0.3601
S  0.8657  0.7500  0.2596
S  0.6435  0.2500  0.1399
Pd  0.5294  0.7500  0.0954
Pd  0.9706  0.2500  0.5954
Pd  0.4706  0.2500  0.9046
Pd  0.0294  0.7500  0.4046
Zr  0.0021  0.7500  0.8236
Zr  0.9979  0.2500  0.1764
Zr  0.5021  0.7500  0.6764
Zr  0.4979  0.2500  0.3236

Material: LiZrPdS3
Method: DFT, PBE
State: optimized geometry

Properties
- size of the total moment (μB/f.u.) = 0.01
- E above lowest polymorph (meV per atom) = 65

Cell: 6.6551 6.6551 9.8172 Å, 90.00 90.00 148.79°
Atoms (fractional coordinates):
Li  0.2868  0.7132  0.2500
Li  0.7132  0.2868  0.7500
Zr  0.5000  0.5000  0.0000
Zr  0.5000  0.5000  0.5000
Pd  0.0208  0.9792  0.7500
Pd  0.9792  0.0208  0.2500
S  0.3993  0.6007  0.7500
S  0.6007  0.3993  0.2500
S  0.1403  0.8597  0.5599
S  0.1403  0.8597  0.9401
S  0.8597  0.1403  0.4401
S  0.8597  0.1403  0.0599

Material: LiZrPdS3
Method: DFT, PBE
State: optimized geometry

Properties
- size of the total moment (μB/f.u.) = 0.00
- E above lowest polymorph (meV per atom) = 0

Cell: 7.2431 3.6108 8.8550 Å, 90.00 104.96 90.00°
Atoms (fractional coordinates):
S  0.4293  0.2500  0.1808
S  0.0964  0.7500  0.8711
S  0.5707  0.7500  0.8192
S  0.8369  0.2500  0.5289
S  0.9036  0.2500  0.1289
S  0.1631  0.7500  0.4711
Li  0.7425  0.7500  0.2679
Li  0.2575  0.2500  0.7321
Zr  0.8221  0.2500  0.8196
Zr  0.1779  0.7500  0.1804
Pd  0.3566  0.2500  0.4370
Pd  0.6434  0.7500  0.5630

Material: Li2SbPd
Method: DFT, PBE
State: optimized geometry

Properties
- total DFT energy (no corrections) (eV per cell) = -15.76

Cell: 4.4850 4.4850 4.4850 Å, 60.00 60.00 60.00°
Atoms (fractional coordinates):
Li  0.7500  0.7500  0.7500
Li  0.0000  0.0000  0.0000
Pd  0.2500  0.2500  0.2500
Sb  0.5000  0.5000  0.5000